The following is a GGA-PBE calculation of a relaxed structure of RbMgNbS3, from OQMD via LeMat-Bulk.

Cell: 8.7075 3.7259 9.8751 Å, 90.00 114.20 90.00°
Closest atoms and distances in Å follow each position.
Element x y z (fractional)
Rb 0.7154 0.7500 0.2477  7 S 3.27-3.48
S 0.6532 0.7500 0.8800  1 Mg 2.39, 2 Nb 2.63
S 0.3468 0.2500 0.1200  1 Mg 2.39, 2 Nb 2.63
Rb 0.2846 0.2500 0.7523  7 S 3.27-3.48
Mg 0.5984 0.7500 0.6224  4 S 2.38-2.52
S 0.2882 0.7500 0.4559  3 Mg 2.38-2.52
Nb 0.8726 0.2500 0.8955  5 S 2.44-2.63
S 0.0258 0.7500 0.8347  3 Nb 2.44-2.50
S 0.7118 0.2500 0.5441  3 Mg 2.38-2.52
Nb 0.1274 0.7500 0.1045  5 S 2.44-2.63
S 0.9742 0.2500 0.1653  3 Nb 2.44-2.50
Mg 0.4016 0.2500 0.3776  4 S 2.38-2.52

## Properties
E = -64.0 eV/cell

The following is a GGA-PBE calculation of a relaxed structure of RbMgNbS3, from OQMD via LeMat-Bulk.

Cell: 7.8154 7.8154 10.0617 Å, 90.00 90.00 151.96°
Closest atoms and distances in Å follow each position.
Element x y z (fractional)
S 0.1141 0.8859 0.0448  1 Mg 2.39, 2 Nb 2.60
S 0.1141 0.8859 0.4552  1 Mg 2.39, 2 Nb 2.60
Mg 0.0343 0.9657 0.2500  4 S 2.39
S 0.8859 0.1141 0.9552  1 Mg 2.39, 2 Nb 2.60
Nb 0.5000 0.5000 0.5000  6 S 2.60-2.69
Rb 0.7577 0.2423 0.2500  8 S 3.32-3.55
S 0.4379 0.5621 0.2500  2 Mg 2.39
S 0.8859 0.1141 0.5448  1 Mg 2.39, 2 Nb 2.60
Mg 0.9657 0.0343 0.7500  4 S 2.39
S 0.5621 0.4379 0.7500  2 Mg 2.39
Nb 0.5000 0.5000 0.0000  6 S 2.60-2.69
Rb 0.2423 0.7577 0.7500  8 S 3.32-3.55

## Properties
E = -62.5 eV/cell

The following is a GGA-PBE calculation of a relaxed structure of MgNbRe, from OQMD via LeMat-Bulk.

Cell: 4.4021 4.4021 4.4021 Å, 60.00 60.00 60.00°
Closest atoms and distances in Å follow each position.
Element x y z (fractional)
Mg 0.2500 0.2500 0.2500  4 Re 2.70
Re 0.0000 0.0000 0.0000  4 Nb 2.70, 4 Mg 2.70
Nb 0.7500 0.7500 0.7500  4 Re 2.70

## Properties
E = -22.0 eV/cell

The following is a GGA-PBE calculation of a relaxed structure of MgNbReSi, from OQMD via LeMat-Bulk.

Cell: 4.4238 4.4238 4.4238 Å, 60.00 60.00 60.00°
Closest atoms and distances in Å follow each position.
Element x y z (fractional)
Mg 0.7500 0.7500 0.7500  4 Si 2.71, 4 Nb 2.71
Re 0.2500 0.2500 0.2500  4 Nb 2.71, 4 Si 2.71
Nb 0.5000 0.5000 0.5000  4 Re 2.71, 4 Mg 2.71
Si 0.0000 0.0000 0.0000  4 Mg 2.71, 4 Re 2.71

## Properties
E = -29.9 eV/cell

The following is a GGA-PBE calculation of a relaxed structure of MgNbReSi, from OQMD via LeMat-Bulk.

Cell: 4.4298 4.4298 4.4298 Å, 60.00 60.00 60.00°
Closest atoms and distances in Å follow each position.
Element x y z (fractional)
Mg 0.7500 0.7500 0.7500  4 Re 2.71, 4 Nb 2.71
Si 0.2500 0.2500 0.2500  4 Re 2.71, 4 Nb 2.71
Nb 0.0000 0.0000 0.0000  4 Mg 2.71, 4 Si 2.71
Re 0.5000 0.5000 0.5000  4 Mg 2.71, 4 Si 2.71

## Properties
E = -28.4 eV/cell

The following is a GGA-PBE calculation of a relaxed structure of MgZrNbRe, from OQMD via LeMat-Bulk.

Cell: 4.6694 4.6694 4.6694 Å, 60.00 60.00 60.00°
Closest atoms and distances in Å follow each position.
Element x y z (fractional)
Re 0.5000 0.5000 0.5000  4 Mg 2.86, 4 Nb 2.86
Mg 0.7500 0.7500 0.7500  4 Re 2.86, 4 Zr 2.86
Zr 0.0000 0.0000 0.0000  4 Nb 2.86, 4 Mg 2.86
Nb 0.2500 0.2500 0.2500  4 Zr 2.86, 4 Re 2.86

## Properties
E = -32.0 eV/cell

The following is a GGA-PBE calculation of a relaxed structure of MgZrNbRe, from OQMD via LeMat-Bulk.

Cell: 4.6895 4.6895 4.6895 Å, 60.00 60.00 60.00°
Closest atoms and distances in Å follow each position.
Element x y z (fractional)
Re 0.2500 0.2500 0.2500  4 Zr 2.87, 4 Nb 2.87
Zr 0.0000 0.0000 0.0000  4 Re 2.87, 4 Mg 2.87
Nb 0.5000 0.5000 0.5000  4 Mg 2.87, 4 Re 2.87
Mg 0.7500 0.7500 0.7500  4 Nb 2.87, 4 Zr 2.87

## Properties
E = -32.5 eV/cell

The following is a GGA-PBE calculation of a relaxed structure of Mg2NbSb, from OQMD via LeMat-Bulk.

Cell: 4.8821 4.8821 4.8821 Å, 60.00 60.00 60.00°
Closest atoms and distances in Å follow each position.
Element x y z (fractional)
Mg 0.0000 0.0000 0.0000  4 Nb 2.99, 4 Mg 2.99
Sb 0.5000 0.5000 0.5000  4 Mg 2.99, 4 Nb 2.99
Mg 0.7500 0.7500 0.7500  4 Sb 2.99, 4 Mg 2.99
Nb 0.2500 0.2500 0.2500  4 Mg 2.99, 4 Sb 2.99

## Properties
E = -16.3 eV/cell

The following is a GGA-PBE calculation of a relaxed structure of MgNbSbW, from OQMD via LeMat-Bulk.

Cell: 4.6673 4.6673 4.6673 Å, 60.00 60.00 60.00°
Closest atoms and distances in Å follow each position.
Element x y z (fractional)
Sb 0.0000 0.0000 0.0000  4 Mg 2.86, 4 W 2.86
W 0.2500 0.2500 0.2500  4 Nb 2.86, 4 Sb 2.86
Mg 0.7500 0.7500 0.7500  4 Sb 2.86, 4 Nb 2.86
Nb 0.5000 0.5000 0.5000  4 Mg 2.86, 4 W 2.86

## Properties
E = -27.7 eV/cell

The following is a GGA-PBE calculation of a relaxed structure of MgNbSbW, from OQMD via LeMat-Bulk.

Cell: 4.6935 4.6935 4.6935 Å, 60.00 60.00 60.00°
Closest atoms and distances in Å follow each position.
Element x y z (fractional)
Nb 0.0000 0.0000 0.0000  4 Mg 2.87, 4 Sb 2.87
W 0.5000 0.5000 0.5000  4 Sb 2.87, 4 Mg 2.87
Sb 0.2500 0.2500 0.2500  4 W 2.87, 4 Nb 2.87
Mg 0.7500 0.7500 0.7500  4 W 2.87, 4 Nb 2.87

## Properties
E = -26.5 eV/cell

The following is a GGA-PBE calculation of a relaxed structure of Mg2ScNb, from OQMD via LeMat-Bulk.

Cell: 4.9320 4.9320 4.9320 Å, 60.00 60.00 60.00°
Closest atoms and distances in Å follow each position.
Element x y z (fractional)
Sc 0.0000 0.0000 0.0000  4 Mg 3.02, 4 Nb 3.02
Mg 0.7500 0.7500 0.7500  4 Mg 3.02, 4 Sc 3.02
Mg 0.5000 0.5000 0.5000  4 Nb 3.02, 4 Mg 3.02
Nb 0.2500 0.2500 0.2500  4 Mg 3.02, 4 Sc 3.02

## Properties
E = -18.3 eV/cell

The following is a GGA-PBE calculation of a relaxed structure of MgNb2Si, from OQMD via LeMat-Bulk.

Cell: 4.5737 4.5737 4.5737 Å, 60.00 60.00 60.00°
Closest atoms and distances in Å follow each position.
Element x y z (fractional)
Nb 0.0000 0.0000 0.0000  4 Mg 2.80, 4 Nb 2.80
Mg 0.2500 0.2500 0.2500  4 Si 2.80, 4 Nb 2.80
Nb 0.7500 0.7500 0.7500  4 Si 2.80, 4 Nb 2.80
Si 0.5000 0.5000 0.5000  4 Mg 2.80, 4 Nb 2.80

## Properties
E = -26.7 eV/cell

The records above give, respectively, magnetic moment values of 0.0 2.0 0.0 0.0 0.5 0.0 0.0 0.0 0.0 0.2 2.4 0.0 μB per formula unit.